Crystalline MnHPdNO at its relaxed geometry. Source: Alexandria via LeMat-Bulk, functional PBE+U.

Output
E above lowest polymorph = 4.0 kJ/mol of atoms
Total magnetic moment = 0.72 μB/atom
SG = Cm, No. 8

Unit cell a=6.489 b=2.979 c=5.789 alpha=90.00 beta=96.21 gamma=90.00
Element x y z (fractional)
Pd 0.512 0.000 0.680
Pd 0.512 0.500 0.180
Mn 0.935 0.500 0.576
Mn 0.935 0.000 0.076
O 0.177 0.000 0.553
O 0.177 0.500 0.053
H 0.229 0.000 0.400
H 0.229 0.500 0.900
N 0.812 0.500 0.241
N 0.812 0.000 0.741